AcGe2Ir2: optimized geometry, GGA-PBE.

Summary:
Total moment = 0.00 μB/f.u.

Cell and atoms, written as POSCAR:
```
AcGe2Ir2
1.0
-2.132 2.132 5.481
2.132 -2.132 5.481
2.132 2.132 -5.481
Ir Ac Ge
2 1 2
Cartesian
0.000 2.132 2.741 Ir
2.132 0.000 2.741 Ir
0.000 0.000 0.000 Ac
0.000 0.000 4.055 Ge
0.000 0.000 6.908 Ge
```

=====

AcGeMo: optimized geometry, GGA-PBE.

Summary:
Total moment = 4.10 μB/f.u.

Cell and atoms, written as POSCAR:
```
AcGeMo
1.0
-0.708 -4.096 3.024
-4.583 -2.324 0.149
-0.586 -4.663 -2.084
Ge Mo Ac
1 1 1
Cartesian
-1.469 -2.771 0.272 Ge
-4.408 -8.313 0.817 Mo
0.000 0.000 0.000 Ac
```

=====

AcGeMo: optimized geometry, GGA-PBE.

Summary:
Total moment = 0.04 μB/f.u.

Cell and atoms, written as POSCAR:
```
AcGeMo
1.0
0.000 3.316 3.316
3.316 0.000 3.316
3.316 3.316 0.000
Ge Mo Ac
1 1 1
Cartesian
4.974 4.974 4.974 Ge
0.000 0.000 0.000 Mo
1.658 1.658 1.658 Ac
```

=====

Result set for E above lowest polymorph: 0.018 0.800 0.000 eV/atom, one per record in the order listed.